1.
A geometry-optimized Ni4B2P structure. Source: Alexandria, functional PBE.

a = 3.581 Å, b = 3.899 Å, c = 5.937 Å
α = 95.80°, β = 72.45°, γ = 62.66°
Element x y z (fractional)
1 Ni 0.718 0.426 0.138
2 Ni 0.282 0.574 0.862
3 Ni 0.131 0.087 0.651
4 Ni 0.869 0.913 0.349
5 B 0.251 0.500 0.500
6 B 0.749 0.500 0.500
7 P 0.500 0.000 0.000

## Properties
Total DFT energy (no corrections), eV per atom: -6.2240

=====

2.
A geometry-optimized CdFeSi2 structure. Source: Alexandria, functional PBE.

a = 5.874 Å, b = 5.874 Å, c = 5.874 Å
α = 154.10°, β = 132.83°, γ = 54.59°
Element x y z (fractional)
1 Fe 0.750 0.250 0.500
2 Cd 0.250 0.750 0.500
3 Si 0.562 0.562 0.000
4 Si 0.938 0.938 0.000

## Properties
Total DFT energy (no corrections), eV per atom: -4.7772
Raw formation energy, meV per atom: 279

=====

3.
A geometry-optimized LaPmP2 structure. Source: Alexandria, functional PBE.

a = 5.092 Å, b = 5.092 Å, c = 5.092 Å
α = 60.00°, β = 60.00°, γ = 60.00°
Element x y z (fractional)
1 P 0.750 0.750 0.750
2 P 0.250 0.250 0.250
3 Pm 0.000 0.000 0.000
4 La 0.500 0.500 0.500

## Properties
Total DFT energy (no corrections), eV per atom: -6.2538